PBE In3NiSe, relaxed; energy relative to the elements, uncorrected = 835 meV per atom
1.0
5.5088 0.0000 0.0000
0.0000 5.5088 0.0000
0.0000 0.0000 5.5088
In Ni Se
3 1 1
Direct
0.0000 0.0000 0.5000
0.0000 0.5000 0.0000
0.5000 0.0000 0.0000
0.5000 0.5000 0.5000
0.0000 0.0000 0.0000